# CdCu2Cl

CdCu2Cl at its PBEsol-relaxed geometry (meta-GGA SCAN, the Alexandria database).

abc: 3.050 3.875 6.068
angles: 89.90 90.00 90.00
Positions (direct):
Cl: 0.500 0.500 0.000
Cd: 0.500 0.000 0.500
Cu: 0.000 0.500 0.693
Cu: 0.000 0.500 0.307

Raw formation energy (kJ/mol of formula units): -26

# ScTaHg2W

ScTaHg2W at its PBEsol-relaxed geometry (meta-GGA SCAN, the Alexandria database).

abc: 4.703 5.181 5.181
angles: 90.00 90.00 90.00
Positions (direct):
Hg: 0.000 0.500 0.000
Hg: 0.000 0.000 0.500
Sc: 0.500 0.500 0.500
Ta: 0.500 0.000 0.000
W: 0.000 0.000 0.000

Energy of formation (eV per formula unit): 5.23

# Li2YPb

Li2YPb at its PBEsol-relaxed geometry (meta-GGA SCAN, the Alexandria database).

abc: 5.020 5.018 5.018
angles: 60.01 59.98 59.98
Positions (direct):
Li: 0.000 0.000 0.000
Li: 0.750 0.750 0.750
Pb: 0.500 0.500 0.500
Y: 0.250 0.250 0.250

Energy of formation (eV per formula unit): -1.81

# SrIn2Se

SrIn2Se at its PBEsol-relaxed geometry (meta-GGA SCAN, the Alexandria database).

abc: 4.303 4.303 6.825
angles: 108.19 108.19 90.55
Positions (direct):
Se: 0.000 0.000 0.000
Sr: 0.500 0.500 0.000
In: 0.500 0.000 0.500
In: 0.000 0.500 0.500

Raw formation energy (kJ/mol of formula units): -332

# Si2AgHg

Si2AgHg at its PBEsol-relaxed geometry (meta-GGA SCAN, the Alexandria database).

abc: 2.786 4.978 5.092
angles: 90.00 90.00 90.00
Positions (direct):
Si: 0.000 0.000 0.000
Si: 0.500 0.500 0.000
Ag: 0.500 0.000 0.500
Hg: 0.000 0.500 0.500

Raw formation energy (kJ/mol of formula units): 230

# MoP3O9

MoP3O9 at its PBEsol-relaxed geometry (meta-GGA SCAN, the Alexandria database).

abc: 9.667 10.869 11.885
angles: 113.59 110.03 98.06
Last column: magnetic moment on the atom in μB.
Positions (direct):
O: 0.143 0.324 0.214  0.02
O: 0.954 0.097 0.157  0.00
O: 0.903 0.231 0.891  0.02
O: 0.952 0.692 0.195  0.00
O: 0.310 0.846 0.622  0.00
O: 0.451 0.310 0.326  0.02
O: 0.257 0.497 0.805  0.00
O: 0.057 0.862 0.874  0.00
O: 0.102 0.241 0.654  0.02
O: 0.216 0.593 0.579  0.02
O: 0.192 0.360 0.996  0.02
O: 0.692 0.585 0.182  0.00
O: 0.506 0.737 0.715  0.01
O: 0.979 0.709 0.623  0.01
O: 0.851 0.890 0.710  0.00
O: 0.366 0.783 0.331  0.02
O: 0.463 0.450 0.956  0.00
O: 0.398 0.190 0.537  0.00
O: 0.326 0.907 0.038  0.02
O: 0.512 0.341 0.109  0.02
O: 0.297 0.940 0.843  0.00
O: 0.873 0.813 0.378  0.02
O: 0.808 0.593 0.939  0.01
O: 0.947 0.586 0.346  0.02
O: 0.096 0.740 0.071  0.02
O: 0.658 0.276 0.726  0.02
O: 0.231 0.113 0.023  0.02
O: 0.010 0.402 0.818  0.00
O: 0.738 0.444 0.427  0.02
O: 0.639 0.289 0.518  0.00
O: 0.641 0.181 0.290  0.00
O: 0.800 0.664 0.727  0.02
O: 0.188 0.224 0.378  0.00
O: 0.621 0.770 0.482  0.00
O: 0.431 0.550 0.274  0.02
O: 0.429 0.110 0.786  0.02
O: 0.573 0.937 0.273  0.02
O: 0.697 0.364 0.004  0.02
O: 0.535 0.452 0.669  0.02
O: 0.811 0.017 0.573  0.02
O: 0.369 0.654 0.061  0.01
O: 0.995 0.435 0.622  0.02
O: 0.625 0.985 0.674  0.02
O: 0.787 0.869 0.962  0.02
O: 0.133 0.990 0.661  0.02
O: 0.684 0.988 0.126  0.00
O: 0.008 0.495 0.044  0.00
O: 0.361 0.653 0.463  0.00
O: 0.708 0.091 0.977  0.02
O: 0.137 0.014 0.421  0.02
O: 0.525 0.668 0.929  0.02
O: 0.856 0.086 0.377  0.01
O: 0.291 0.022 0.285  0.01
O: 0.972 0.329 0.339  0.02
P: 0.726 0.925 0.609  0.02
P: 0.778 0.010 0.045  0.01
P: 0.292 0.982 0.728  0.01
P: 0.872 0.671 0.285  0.01
P: 0.917 0.769 0.725  0.02
P: 0.351 0.704 0.604  0.02
P: 0.064 0.255 0.272  0.01
P: 0.691 0.044 0.275  0.02
P: 0.232 0.965 0.955  0.01
P: 0.963 0.633 0.054  0.02
P: 0.562 0.311 0.622  0.01
P: 0.247 0.100 0.396  0.02
P: 0.409 0.580 0.946  0.02
P: 0.029 0.362 0.937  0.02
P: 0.087 0.385 0.715  0.01
P: 0.592 0.425 0.063  0.02
P: 0.616 0.316 0.391  0.02
P: 0.440 0.689 0.378  0.01
Mo: 0.325 0.332 0.157  2.64
Mo: 0.657 0.661 0.822  2.62
Mo: 0.668 0.174 0.843  2.64
Mo: 0.335 0.839 0.178  2.62
Mo: 0.976 0.515 0.488  2.61
Mo: 0.988 0.027 0.512  2.61

Raw formation energy (kJ/mol of formula units): -2855

# BeSi2Mo2

BeSi2Mo2 at its PBEsol-relaxed geometry (meta-GGA SCAN, the Alexandria database).

abc: 3.366 6.226 6.226
angles: 90.00 90.00 90.00
Positions (direct):
Mo: 0.500 0.669 0.831
Mo: 0.500 0.831 0.331
Mo: 0.500 0.331 0.169
Mo: 0.500 0.169 0.669
Si: 0.000 0.634 0.134
Si: 0.000 0.866 0.634
Si: 0.000 0.134 0.366
Si: 0.000 0.366 0.866
Be: 0.000 0.000 0.000
Be: 0.000 0.500 0.500

Raw formation energy (kJ/mol of formula units): -117

# Cs2TiSi6O15

Cs2TiSi6O15 at its PBEsol-relaxed geometry (meta-GGA SCAN, the Alexandria database).

abc: 7.507 7.507 15.271
angles: 76.58 76.58 59.95
Positions (direct):
Si: 0.411 0.549 0.963
Si: 0.143 0.364 0.947
Si: 0.532 0.637 0.257
Si: 0.649 0.988 0.259
Si: 0.068 0.928 0.249
Si: 0.928 0.068 0.749
Si: 0.020 0.078 0.436
Si: 0.078 0.020 0.936
Si: 0.364 0.143 0.447
Si: 0.988 0.649 0.759
Si: 0.549 0.411 0.463
Si: 0.637 0.532 0.757
Ti: 0.300 0.780 0.599
Ti: 0.780 0.300 0.099
O: 0.539 0.504 0.042
O: 0.771 0.197 0.470
O: 0.843 0.893 0.777
O: 0.090 0.513 0.851
O: 0.088 0.030 0.656
O: 0.865 0.130 0.002
O: 0.041 0.055 0.831
O: 0.197 0.771 0.970
O: 0.504 0.539 0.542
O: 0.541 0.563 0.863
O: 0.563 0.541 0.363
O: 0.433 0.950 0.527
O: 0.368 0.340 0.474
O: 0.130 0.865 0.502
O: 0.340 0.368 0.974
O: 0.844 0.563 0.737
O: 0.030 0.088 0.156
O: 0.893 0.843 0.277
O: 0.625 0.162 0.172
O: 0.480 0.700 0.689
O: 0.055 0.041 0.331
O: 0.292 0.715 0.242
O: 0.513 0.090 0.351
O: 0.715 0.292 0.742
O: 0.950 0.433 0.027
O: 0.700 0.480 0.189
O: 0.563 0.844 0.237
O: 0.162 0.625 0.672
O: 0.122 0.232 0.431
O: 0.232 0.122 0.931
Cs: 0.634 0.884 0.021
Cs: 0.413 0.145 0.694
Cs: 0.884 0.634 0.521
Cs: 0.145 0.413 0.194

Energy above the lowest structure with this stoichiometry (eV per formula unit): 0.00
Raw formation energy (kJ/mol of formula units): -6998

# Cs2Al2Si3O10

Cs2Al2Si3O10 at its PBEsol-relaxed geometry (meta-GGA SCAN, the Alexandria database).

abc: 6.567 9.577 10.178
angles: 83.65 71.18 69.95
Positions (direct):
Cs: 0.898 0.075 0.391
Cs: 0.723 0.425 0.891
Cs: 0.039 0.575 0.109
Cs: 0.364 0.925 0.609
O: 0.947 0.974 0.861
O: 0.253 0.357 0.853
O: 0.386 0.215 0.062
O: 0.076 0.570 0.680
O: 0.359 0.143 0.353
O: 0.559 0.474 0.639
O: 0.327 0.430 0.320
O: 0.198 0.715 0.438
O: 0.856 0.857 0.647
O: 0.808 0.649 0.520
O: 0.208 0.851 0.020
O: 0.507 0.070 0.820
O: 0.663 0.785 0.938
O: 0.078 0.149 0.980
O: 0.396 0.930 0.180
O: 0.783 0.026 0.139
O: 0.351 0.285 0.562
O: 0.671 0.526 0.361
O: 0.463 0.643 0.147
O: 0.977 0.351 0.480
Si: 0.750 0.500 0.500
Si: 0.992 0.695 0.572
Si: 0.437 0.805 0.072
Si: 0.000 0.000 0.000
Si: 0.259 0.305 0.428
Si: 0.314 0.195 0.928
Al: 0.317 0.418 0.680
Al: 0.415 0.582 0.320
Al: 0.485 0.082 0.180
Al: 0.747 0.918 0.820

Raw formation energy (kJ/mol of formula units): -5035

# Sn2PRuO

Sn2PRuO at its PBEsol-relaxed geometry (meta-GGA SCAN, the Alexandria database).

abc: 3.730 4.987 4.987
angles: 90.00 90.00 90.00
Positions (direct):
P: 0.500 0.500 0.500
O: 0.000 0.000 0.000
Sn: 0.000 0.500 0.000
Sn: 0.000 0.000 0.500
Ru: 0.500 0.000 0.000

Raw formation energy (kJ/mol of formula units): 170

# LiNiHg2P

LiNiHg2P at its PBEsol-relaxed geometry (meta-GGA SCAN, the Alexandria database).

abc: 4.202 4.938 4.938
angles: 90.00 90.00 90.00
Positions (direct):
Hg: 0.000 0.000 0.500
Hg: 0.000 0.500 0.000
Ni: 0.000 0.000 0.000
Li: 0.500 0.500 0.500
P: 0.500 0.000 0.000

Energy of formation (eV per formula unit): 0.15

# KMn2Au

KMn2Au at its PBEsol-relaxed geometry (meta-GGA SCAN, the Alexandria database).

abc: 2.869 4.432 7.043
angles: 90.00 101.15 90.00
Last column: magnetic moment on the atom in μB.
Positions (direct):
Mn: 0.734 0.000 0.842  4.02
Mn: 0.266 0.000 0.158  4.02
Au: 0.500 0.500 0.000  0.08
K: 0.000 0.500 0.500  0.00

Energy above the lowest structure with this stoichiometry (eV per formula unit): 0.18
Energy of formation (eV per formula unit): 0.82

# BeInAs2

BeInAs2 at its PBEsol-relaxed geometry (meta-GGA SCAN, the Alexandria database).

abc: 3.408 3.478 6.880
angles: 104.64 104.34 90.00
Positions (direct):
As: 0.840 0.340 0.680
As: 0.004 0.004 0.009
In: 0.192 0.692 0.385
Be: 0.463 0.463 0.926

Energy of formation (eV per formula unit): 0.89

# FeOsPt2

FeOsPt2 at its PBEsol-relaxed geometry (meta-GGA SCAN, the Alexandria database).

abc: 3.766 3.766 3.909
angles: 90.00 90.00 90.00
Last column: magnetic moment on the atom in μB.
Positions (direct):
Pt: 0.000 0.500 0.000  0.16
Pt: 0.500 0.000 0.000  0.16
Fe: 0.500 0.500 0.500  3.33
Os: 0.000 0.000 0.500  0.43

Energy above the lowest structure with this stoichiometry (eV per formula unit): 0.22
Energy of formation (eV per formula unit): -0.19

# Ta2NiOs

Ta2NiOs at its PBEsol-relaxed geometry (meta-GGA SCAN, the Alexandria database).

abc: 2.727 2.727 8.050
angles: 90.00 90.00 90.00
Positions (direct):
Ta: 0.500 0.500 0.275
Ta: 0.000 0.000 0.986
Os: 0.500 0.500 0.723
Ni: 0.000 0.000 0.516

Energy above the lowest structure with this stoichiometry (eV per formula unit): 1.54
Energy of formation (eV per formula unit): 0.29

# TaMnPt2

TaMnPt2 at its PBEsol-relaxed geometry (meta-GGA SCAN, the Alexandria database).

abc: 2.786 3.907 5.467
angles: 90.00 90.00 90.00
Last column: magnetic moment on the atom in μB.
Positions (direct):
Mn: 0.500 0.500 0.500  3.73
Ta: 0.500 0.500 0.000  -0.26
Pt: 0.000 0.000 0.745  0.05
Pt: 0.000 0.000 0.255  0.05

Energy of formation (eV per formula unit): -3.24

# TlZnSi2

TlZnSi2 at its PBEsol-relaxed geometry (meta-GGA SCAN, the Alexandria database).

abc: 3.147 3.399 7.236
angles: 90.00 103.04 90.00
Positions (direct):
Si: 0.069 0.000 0.019
Si: 0.644 0.500 0.163
Zn: 0.466 0.500 0.800
Tl: 0.821 0.000 0.518

Energy above the lowest structure with this stoichiometry (eV per formula unit): 0.04
Raw formation energy (kJ/mol of formula units): 177

# LiTl2

LiTl2 at its PBEsol-relaxed geometry (meta-GGA SCAN, the Alexandria database).

abc: 3.482 3.482 6.241
angles: 106.20 106.20 90.00
Positions (direct):
Tl: 0.346 0.346 0.692
Tl: 0.654 0.654 0.308
Li: 0.000 0.000 0.000

Energy above the lowest structure with this stoichiometry (eV per formula unit): 0.01
Energy of formation (eV per formula unit): -0.55

# BePbSe2

BePbSe2 at its PBEsol-relaxed geometry (meta-GGA SCAN, the Alexandria database).

abc: 3.754 3.758 7.089
angles: 74.62 74.64 60.03
Positions (direct):
Se: 0.228 0.729 0.814
Se: 0.772 0.271 0.186
Pb: 0.000 0.500 0.500
Be: 0.500 0.000 0.000

Energy above the lowest structure with this stoichiometry (eV per formula unit): 0.00
Raw formation energy (kJ/mol of formula units): -133

# RbBa3Mo

RbBa3Mo at its PBEsol-relaxed geometry (meta-GGA SCAN, the Alexandria database).

abc: 6.143 6.143 6.143
angles: 90.00 90.00 90.00
Positions (direct):
Mo: 0.000 0.000 0.000
Ba: 0.000 0.000 0.500
Ba: 0.500 0.000 0.000
Ba: 0.000 0.500 0.000
Rb: 0.500 0.500 0.500

Energy of formation (eV per formula unit): 3.76

# CuAgIr

CuAgIr at its PBEsol-relaxed geometry (meta-GGA SCAN, the Alexandria database).

abc: 2.575 4.369 4.369
angles: 120.00 90.00 90.00
Positions (direct):
Ir: 0.373 0.333 0.667
Ag: 0.928 0.000 0.000
Cu: 0.699 0.667 0.333

Energy of formation (eV per formula unit): 1.29